(1)
Material: Nd2FeO6
Method: DFT, PBE with a Hubbard U
State: relaxed

The structure in CIF format:
```
data_Nd2FeO6
_symmetry_space_group_name_H-M 'C 1 2/m 1'
_symmetry_Int_Tables_number 12
_symmetry_space_group_name_Hall '-C 2y'
_cell_length_a 10.878
_cell_length_b 5.773
_cell_length_c 3.816
_cell_angle_alpha 90.00
_cell_angle_beta 99.41
_cell_angle_gamma 90.00
loop_
_atom_site_label
_atom_site_type_symbol
_atom_site_fract_x
_atom_site_fract_y
_atom_site_fract_z
Nd1 Nd 0.168 0.000 0.196
Fe1 Fe 0.000 0.500 0.500
O1 O 0.000 0.275 0.000
O2 O 0.144 0.263 0.676
```

Output
VASP energy ... -6.960 eV/atom

***

(2)
Material: NdFe2PO8
Method: DFT, PBE with a Hubbard U
State: relaxed

The structure in CIF format:
```
data_NdFe2PO8
_symmetry_space_group_name_H-M 'P -3 m 1'
_symmetry_Int_Tables_number 164
_symmetry_space_group_name_Hall '-P 3 2"'
_cell_length_a 5.3927
_cell_length_b 5.3927
_cell_length_c 5.9726
_cell_angle_alpha 90.00
_cell_angle_beta 90.00
_cell_angle_gamma 120.00
loop_
_atom_site_label
_atom_site_type_symbol
_atom_site_fract_x
_atom_site_fract_y
_atom_site_fract_z
Nd1 Nd 0.0000 0.0000 0.0000
Fe1 Fe 0.3333 0.6667 0.5012
P1 P 0.0000 0.0000 0.5000
O1 O 0.1500 0.3000 0.6661
O2 O 0.3333 0.6667 0.1877
```

Output
VASP energy ... -6.582 eV/atom

***

(3)
Material: NdPaFe2O6
Method: DFT, PBE with a Hubbard U
State: relaxed

The structure in CIF format:
```
data_NdPaFe2O6
_symmetry_space_group_name_H-M 'C 1 2/m 1'
_symmetry_Int_Tables_number 12
_symmetry_space_group_name_Hall '-C 2y'
_cell_length_a 10.187
_cell_length_b 6.120
_cell_length_c 5.555
_cell_angle_alpha 90.00
_cell_angle_beta 122.98
_cell_angle_gamma 90.00
loop_
_atom_site_label
_atom_site_type_symbol
_atom_site_fract_x
_atom_site_fract_y
_atom_site_fract_z
Nd1 Nd 0.000 0.000 0.000
Pa1 Pa 0.000 0.500 0.500
Fe1 Fe 0.247 0.500 0.303
O1 O 0.101 0.256 0.367
O2 O 0.232 0.500 0.935
```

Output
VASP energy ... -8.072 eV/atom

***

(4)
Material: NdPuFe2O6
Method: DFT, PBE with a Hubbard U
State: relaxed

The structure in CIF format:
```
data_NdPuFe2O6
_symmetry_space_group_name_H-M 'P 1 21/c 1'
_symmetry_Int_Tables_number 14
_symmetry_space_group_name_Hall '-P 2ybc'
_cell_length_a 5.669
_cell_length_b 5.685
_cell_length_c 10.039
_cell_angle_alpha 90.00
_cell_angle_beta 122.81
_cell_angle_gamma 90.00
loop_
_atom_site_label
_atom_site_type_symbol
_atom_site_fract_x
_atom_site_fract_y
_atom_site_fract_z
Nd1 Nd 0.000 0.000 0.000
Pu1 Pu 0.500 0.000 0.500
Fe1 Fe 0.222 0.025 0.745
O1 O 0.124 0.130 0.261
O2 O 0.246 0.646 0.072
O3 O 0.451 0.181 0.087
```

Output
VASP energy ... -8.317 eV/atom

***

(5)
Material: Nd2PuFeO8
Method: DFT, PBE with a Hubbard U
State: relaxed

The structure in CIF format:
```
data_Nd2PuFeO8
_symmetry_space_group_name_H-M 'P -1'
_symmetry_Int_Tables_number 2
_symmetry_space_group_name_Hall '-P 1'
_cell_length_a 4.646
_cell_length_b 5.200
_cell_length_c 7.338
_cell_angle_alpha 82.89
_cell_angle_beta 87.16
_cell_angle_gamma 83.49
loop_
_atom_site_label
_atom_site_type_symbol
_atom_site_fract_x
_atom_site_fract_y
_atom_site_fract_z
Nd1 Nd 0.104 0.016 0.234
Pu1 Pu 0.500 0.500 0.500
Fe1 Fe 0.500 0.500 0.000
O1 O 0.147 0.734 0.528
O2 O 0.229 0.795 0.981
O3 O 0.346 0.390 0.240
O4 O 0.366 0.214 0.662
```

Output
VASP energy ... -8.260 eV/atom

***

(6)
Material: NdPuFe2O8
Method: DFT, PBE with a Hubbard U
State: relaxed

The structure in CIF format:
```
data_NdPuFe2O8
_symmetry_space_group_name_H-M 'I -4 m 2'
_symmetry_Int_Tables_number 119
_symmetry_space_group_name_Hall 'I -4 -2'
_cell_length_a 7.039
_cell_length_b 7.039
_cell_length_c 6.729
_cell_angle_alpha 90.00
_cell_angle_beta 90.00
_cell_angle_gamma 90.00
loop_
_atom_site_label
_atom_site_type_symbol
_atom_site_fract_x
_atom_site_fract_y
_atom_site_fract_z
Nd1 Nd 0.000 0.000 0.000
Pu1 Pu 0.000 0.500 0.750
Fe1 Fe 0.000 0.000 0.500
Fe2 Fe 0.000 0.500 0.250
O1 O 0.000 0.204 0.687
O2 O 0.000 0.325 0.050
```

Output
VASP energy ... -7.781 eV/atom

***

What is the VASP energy in the fifth record? -8.260 eV/atom